[1]
Density functional theory data (PBE) for a geometry-optimized TmZr4Ga4 structure.

Cell lengths 5.4983, 8.7356, 8.7356 Å; angles 90.00, 90.00, 90.00 degrees
With the nearest neighbours (Å) after each atom.
Element x y z (fractional)
Tm 0.5000 0.5000 0.5000  4 Ga 2.84
Ga 0.3851 0.3595 0.2164  1 Ga 2.49, 2 Zr 2.76-2.77
Zr 0.6236 0.9008 0.6592  5 Ga 2.76-2.86
Zr 0.6236 0.0992 0.3408  5 Ga 2.76-2.86
Ga 0.8851 0.2836 0.8595  1 Ga 2.49, 2 Zr 2.76-2.77
Ga 0.3851 0.6405 0.7836  1 Ga 2.49, 2 Zr 2.76-2.77
Ga 0.6149 0.2164 0.6405  1 Ga 2.49, 2 Zr 2.76-2.77
Ga 0.8851 0.7164 0.1405  1 Ga 2.49, 2 Zr 2.76-2.77
Ga 0.1149 0.1405 0.2836  1 Ga 2.49, 2 Zr 2.76-2.77
Zr 0.3764 0.6592 0.0992  5 Ga 2.76-2.86
Zr 0.1236 0.1592 0.5992  5 Ga 2.76-2.86
Zr 0.3764 0.3408 0.9008  5 Ga 2.76-2.86
Tm 0.0000 0.0000 0.0000  4 Ga 2.84
Zr 0.1236 0.8408 0.4008  5 Ga 2.76-2.86
Zr 0.8764 0.5992 0.8408  5 Ga 2.76-2.86
Ga 0.6149 0.7836 0.3595  1 Ga 2.49, 2 Zr 2.76-2.77
Ga 0.1149 0.8595 0.7164  1 Ga 2.49, 2 Zr 2.76-2.77
Zr 0.8764 0.4008 0.1592  5 Ga 2.76-2.86

Summary:
The space-group type is P4_2/n (86). Its total magnetization is 0.00 μB/cell. For the energy relative to the elements, the calculation gives -2.1 eV/f.u.

[2]
Density functional theory data (PBE) for a geometry-optimized AcNbAs2Ru structure.

Cell lengths 4.0239, 4.0239, 7.2451 Å; angles 106.12, 106.12, 90.00 degrees
With the nearest neighbours (Å) after each atom.
Element x y z (fractional)
As 0.6274 0.6274 0.2547  2 Nb 2.59, 2 Ru 2.59
Ac 0.0000 0.0000 0.0000  8 As 3.31
Ru 0.7500 0.2500 0.5000  4 As 2.59, 4 Nb 2.85
As 0.3726 0.3726 0.7453  2 Nb 2.59, 2 Ru 2.59
Nb 0.2500 0.7500 0.5000  4 As 2.59, 4 Ru 2.85

Summary:
The space-group type is I-4m2 (119). Its total magnetization is 0.00 μB/cell. For the energy relative to the elements, the calculation gives -3.5 eV/f.u.

[3]
Density functional theory data (PBE) for a geometry-optimized LuZnHgAu structure.

Cell lengths 4.8334, 4.8334, 4.8334 Å; angles 60.00, 60.00, 60.00 degrees
With the nearest neighbours (Å) after each atom.
Element x y z (fractional)
Au 0.2500 0.2500 0.2500  4 Zn 2.96, 4 Lu 2.96
Zn 0.0000 0.0000 0.0000  4 Hg 2.96, 4 Au 2.96
Lu 0.5000 0.5000 0.5000  4 Au 2.96, 4 Hg 2.96
Hg 0.7500 0.7500 0.7500  4 Lu 2.96, 4 Zn 2.96

Summary:
The space-group type is F-43m (216). Its total magnetization is 0.00 μB/cell. For the energy relative to the elements, the calculation gives -1.8 eV/f.u.

[4]
Density functional theory data (PBE) for a geometry-optimized CeBe2H8Ru structure.

Cell lengths 4.0773, 4.0773, 6.4874 Å; angles 85.35, 85.35, 64.93 degrees
With the nearest neighbours (Å) after each atom.
Element x y z (fractional)
H 0.3343 0.3343 0.6086  1 Be 1.57
H 0.6936 0.2333 0.1899  1 Be 1.58, 1 Ru 1.71
H 0.7667 0.3064 0.8101  1 Be 1.58, 1 Ru 1.71
H 0.7667 0.7667 0.9481  1 Be 1.51, 1 Ru 1.67
H 0.3064 0.7667 0.8101  1 Be 1.58, 1 Ru 1.71
H 0.6657 0.6657 0.3914  1 Be 1.57
Ru 0.0000 0.0000 0.0000  6 H 1.67-1.71
Be 0.3593 0.3593 0.8472  4 H 1.51-1.58
H 0.2333 0.6936 0.1899  1 Be 1.58, 1 Ru 1.71
Be 0.6407 0.6407 0.1528  4 H 1.51-1.58
Ce 0.0000 0.0000 0.5000  10 H 2.37-2.54
H 0.2333 0.2333 0.0519  1 Be 1.51, 1 Ru 1.67

Summary:
The space-group type is C2/m (12). Its total magnetization is 1.50 μB/cell. For the raw total energy, the calculation gives -51.6 eV per cell.